[1]
# BiPdPt PBE-GGA relaxed
# Energy of formation = -0.17 eV per atom
# Energy relative to the lowest polymorph listed for this composition = 43 meV/atom
data_BiPdPt
_symmetry_space_group_name_H-M 'P 1 21/m 1'
_symmetry_Int_Tables_number 11
_symmetry_space_group_name_Hall '-P 2yb'
_cell_length_a 5.561
_cell_length_b 4.189
_cell_length_c 5.567
_cell_angle_alpha 90.00
_cell_angle_beta 106.62
_cell_angle_gamma 90.00
loop_
_atom_site_label
_atom_site_fract_x
_atom_site_fract_y
_atom_site_fract_z
Bi1 0.106 0.250 0.273
Pd1 0.388 0.750 0.100
Pt1 0.341 0.750 0.588

***

[2]
# NaCdHg4 PBE-GGA relaxed
# Energy of formation = -0.01 eV per atom
# Energy relative to the lowest polymorph listed for this composition = 100 meV/atom
data_NaCdHg4
_symmetry_space_group_name_H-M 'F -4 3 m'
_symmetry_Int_Tables_number 216
_symmetry_space_group_name_Hall 'F -4 2 3'
_cell_length_a 8.715
_cell_length_b 8.715
_cell_length_c 8.715
_cell_angle_alpha 90.00
_cell_angle_beta 90.00
_cell_angle_gamma 90.00
loop_
_atom_site_label
_atom_site_fract_x
_atom_site_fract_y
_atom_site_fract_z
Na1 0.000 0.000 0.000
Cd1 0.250 0.250 0.750
Hg1 0.125 0.125 0.375

***

[3]
# Ta2Pt6Rh3 PBE-GGA relaxed
# Energy of formation = -0.28 eV per atom
data_Ta2Pt6Rh3
_symmetry_space_group_name_H-M 'C 1 2/m 1'
_symmetry_Int_Tables_number 12
_symmetry_space_group_name_Hall '-C 2y'
_cell_length_a 11.695
_cell_length_b 3.858
_cell_length_c 8.894
_cell_angle_alpha 90.00
_cell_angle_beta 116.20
_cell_angle_gamma 90.00
loop_
_atom_site_label
_atom_site_fract_x
_atom_site_fract_y
_atom_site_fract_z
Ta1 0.145 0.000 0.002
Pt1 0.083 0.000 0.249
Pt2 0.089 0.500 0.768
Pt3 0.246 0.500 0.240
Rh1 0.000 0.000 0.500
Rh2 0.162 0.500 0.496